DFT (GGA-PBE) results for a relaxed RbYTi2O6 crystal.

Geometry as CIF:
```
data_RbYTi2O6
_symmetry_space_group_name_H-M 'C 1 2/c 1'
_symmetry_Int_Tables_number 15
_cell_length_a 10.989
_cell_length_b 10.863
_cell_length_c 6.412
_cell_angle_alpha 90.00
_cell_angle_beta 109.46
_cell_angle_gamma 90.00
loop_
_symmetry_equiv_pos_as_xyz
'x,y,z'
'-x,-y,-z'
'-x,y,-z+1/2'
'x,-y,z+1/2'
'x+1/2,y+1/2,z'
'-x+1/2,-y+1/2,-z'
'-x+1/2,y+1/2,-z+1/2'
'x+1/2,-y+1/2,z+1/2'
loop_
_atom_site_label
_atom_site_type_symbol
_atom_site_fract_x
_atom_site_fract_y
_atom_site_fract_z
Rb1 Rb 0.000 0.096 0.250
Y1 Y 0.000 0.281 0.750
Ti1 Ti 0.202 0.422 0.157
O1 O 0.092 0.301 0.113
O2 O 0.136 0.135 0.721
O3 O 0.165 0.458 0.849
```

Calculated values
total DFT energy (no corrections)	-329.38	eV/cell
formation energy from raw total energies	-2.937	eV/atom
total magnetization	0.00	μB/cell